No. 1
Mg2TaPt | GGA-PBE | optimized geometry

Lattice parameters (Å, degrees): 5.3342 5.3342 5.3342 136.53 136.53 63.16
Fractional positions:
Mg 0.2500 0.7500 0.5000
Mg 0.7500 0.2500 0.5000
Ta 0.0000 0.0000 0.0000
Pt 0.5000 0.5000 0.0000

## Properties
**Symmetry**: I4/mmm

=====

No. 2
Li2Y2Pt15 | GGA-PBE | optimized geometry

Lattice parameters (Å, degrees): 6.9719 6.9719 6.9719 82.77 82.77 82.77
Fractional positions:
Li 0.0964 0.0964 0.0964
Li 0.9036 0.9036 0.9036
Y 0.3489 0.3489 0.3489
Y 0.6511 0.6511 0.6511
Pt 0.0000 0.0000 0.5000
Pt 0.0000 0.3224 0.6776
Pt 0.0000 0.5000 0.0000
Pt 0.0000 0.6776 0.3224
Pt 0.1642 0.6611 0.6611
Pt 0.3224 0.0000 0.6776
Pt 0.3224 0.6776 0.0000
Pt 0.3389 0.3389 0.8358
Pt 0.3389 0.8358 0.3389
Pt 0.5000 0.0000 0.0000
Pt 0.6611 0.1642 0.6611
Pt 0.6611 0.6611 0.1642
Pt 0.6776 0.0000 0.3224
Pt 0.6776 0.3224 0.0000
Pt 0.8358 0.3389 0.3389

## Properties
**Symmetry**: R-3m

=====

No. 3
MnW | GGA-PBE | optimized geometry

Lattice parameters (Å, degrees): 5.1277 5.1277 2.9063 90.00 90.00 133.44
Fractional positions:
Mn 0.0926 0.9074 0.7500
Mn 0.9074 0.0926 0.2500
W 0.3524 0.6476 0.7500
W 0.6476 0.3524 0.2500

## Properties
**Symmetry**: Cmcm

=====

Number 1: E_form -0.048 eV/atom. Number 2: E_form -0.566 eV/atom. Number 3: E_form 0.292 eV/atom.